VASP calculation (GGA-PBE) on an optimized crystal structure of Co2SbPd.

Values from the calculation:
Formation energy from raw total energies in eV per atom: 0.34
DOS(E_F) in states/eV per cell: 6.6
SG: I-42d, No. 122

Lattice parameters (Å, degrees): 3.786 3.786 9.544 78.56 78.56 90.00
Atoms (fractional coordinates):
Sb: 0.000 0.000 0.000
Sb: 0.750 0.250 0.500
Co: 0.574 0.125 0.250
Co: 0.176 0.625 0.250
Co: 0.375 0.426 0.750
Co: 0.875 0.824 0.750
Pd: 0.500 0.500 0.000
Pd: 0.250 0.750 0.500

VASP calculation (GGA-PBE) on an optimized crystal structure of Co2Sb2Pd.

Values from the calculation:
Formation energy from raw total energies in eV per atom: 0.03
DOS(E_F) in states/eV per cell: 2.3
SG: P4/mbm, No. 127
Energy relative to the lowest polymorph listed for this composition in meV/atom: 47.1

Lattice parameters (Å, degrees): 7.222 7.222 3.097 90.00 90.00 90.00
Atoms (fractional coordinates):
Sb: 0.341 0.841 0.000
Sb: 0.841 0.659 0.000
Sb: 0.659 0.159 0.000
Sb: 0.159 0.341 0.000
Co: 0.133 0.633 0.500
Co: 0.633 0.867 0.500
Co: 0.867 0.367 0.500
Co: 0.367 0.133 0.500
Pd: 0.000 0.000 0.000
Pd: 0.500 0.500 0.000

VASP calculation (GGA-PBE) on an optimized crystal structure of Co2Sb2Pd.

Values from the calculation:
Formation energy from raw total energies in eV per atom: -0.02
DOS(E_F) in states/eV per cell: 7.3
SG: P4/mbm, No. 127
Energy relative to the lowest polymorph listed for this composition in meV/atom: 0.0

Lattice parameters (Å, degrees): 7.055 7.055 3.184 90.00 90.00 90.00
Atoms (fractional coordinates):
Sb: 0.168 0.668 0.500
Sb: 0.668 0.832 0.500
Sb: 0.832 0.332 0.500
Sb: 0.332 0.168 0.500
Co: 0.371 0.871 0.000
Co: 0.871 0.629 0.000
Co: 0.629 0.129 0.000
Co: 0.129 0.371 0.000
Pd: 0.000 0.000 0.000
Pd: 0.500 0.500 0.000

VASP calculation (GGA-PBE) on an optimized crystal structure of Co3SbPd.

Values from the calculation:
Formation energy from raw total energies in eV per atom: 1.16
DOS(E_F) in states/eV per cell: 7.8
SG: Pm-3m, No. 221
Energy relative to the lowest polymorph listed for this composition in meV/atom: 0.0

Lattice parameters (Å, degrees): 4.579 4.579 4.579 90.00 90.00 90.00
Atoms (fractional coordinates):
Sb: 0.500 0.500 0.500
Co: 0.000 0.500 0.000
Co: 0.000 0.000 0.500
Co: 0.500 0.000 0.000
Pd: 0.000 0.000 0.000

VASP calculation (GGA-PBE) on an optimized crystal structure of Co2SbPd2.

Values from the calculation:
Formation energy from raw total energies in eV per atom: 0.06
DOS(E_F) in states/eV per cell: 8.5
SG: P4/mbm, No. 127

Lattice parameters (Å, degrees): 6.329 6.329 3.827 90.00 90.00 90.00
Atoms (fractional coordinates):
Sb: 0.000 0.000 0.000
Sb: 0.500 0.500 0.000
Co: 0.374 0.874 0.000
Co: 0.874 0.626 0.000
Co: 0.626 0.126 0.000
Co: 0.126 0.374 0.000
Pd: 0.164 0.664 0.500
Pd: 0.664 0.836 0.500
Pd: 0.836 0.336 0.500
Pd: 0.336 0.164 0.500

VASP calculation (GGA-PBE) on an optimized crystal structure of CoSb2Pd.

Values from the calculation:
Formation energy from raw total energies in eV per atom: 0.08
DOS(E_F) in states/eV per cell: 3.4
SG: Fm-3m, No. 225
Energy relative to the lowest polymorph listed for this composition in meV/atom: 0.0

Lattice parameters (Å, degrees): 4.693 4.693 4.693 60.00 60.00 60.00
Atoms (fractional coordinates):
Sb: 0.250 0.250 0.250
Sb: 0.750 0.750 0.750
Co: 0.000 0.000 0.000
Pd: 0.500 0.500 0.500

VASP calculation (GGA-PBE) on an optimized crystal structure of CoSbPd2.

Values from the calculation:
Formation energy from raw total energies in eV per atom: 0.08
DOS(E_F) in states/eV per cell: 7.2
SG: I-42d, No. 122

Lattice parameters (Å, degrees): 3.835 3.835 9.616 78.50 78.50 90.00
Atoms (fractional coordinates):
Sb: 0.000 0.000 0.000
Sb: 0.750 0.250 0.500
Co: 0.500 0.500 0.000
Co: 0.250 0.750 0.500
Pd: 0.616 0.125 0.250
Pd: 0.134 0.625 0.250
Pd: 0.375 0.384 0.750
Pd: 0.875 0.866 0.750

VASP calculation (GGA-PBE) on an optimized crystal structure of CoSb4Pd.

Values from the calculation:
Formation energy from raw total energies in eV per atom: -0.21
DOS(E_F) in states/eV per cell: 8.5
SG: P2_1/c, No. 14

Lattice parameters (Å, degrees): 6.392 6.439 6.408 90.00 92.70 90.00
Atoms (fractional coordinates):
Co: 0.500 0.000 0.500
Co: 0.000 0.500 0.500
Sb: 0.889 0.627 0.143
Sb: 0.611 0.127 0.857
Sb: 0.356 0.363 0.386
Sb: 0.144 0.863 0.614
Sb: 0.111 0.373 0.857
Sb: 0.389 0.873 0.143
Sb: 0.644 0.637 0.614
Sb: 0.856 0.137 0.386
Pd: 0.000 0.000 0.000
Pd: 0.500 0.500 0.000